Compound: HfTc2Ge
Source: OQMD
Functional: PBE
Structure: optimized geometry

Summary:
- M_tot (Bohr magnetons per cell) = 0.64
- space group = F-43m, No. 216
- electronic total energy (eV per cell) = -35.2

Cell: 4.5018 4.5018 4.5018 Å, 60.00 60.00 60.00°
Closest atoms and distances in Å follow each position.
Fractional positions:
Hf  0.0000  0.0000  0.0000  4 Ge 2.76, 4 Tc 2.76
Tc  0.2500  0.2500  0.2500  4 Tc 2.76, 4 Hf 2.76
Tc  0.5000  0.5000  0.5000  4 Ge 2.76, 4 Tc 2.76
Ge  0.7500  0.7500  0.7500  4 Hf 2.76, 4 Tc 2.76

Compound: HfTcGe2
Source: OQMD
Functional: PBE
Structure: optimized geometry

Summary:
- M_tot (Bohr magnetons per cell) = 0.00
- space group = F-43m, No. 216
- electronic total energy (eV per cell) = -29.7

Cell: 4.5962 4.5962 4.5962 Å, 60.00 60.00 60.00°
Closest atoms and distances in Å follow each position.
Fractional positions:
Hf  0.0000  0.0000  0.0000  4 Ge 2.81, 4 Tc 2.81
Tc  0.7500  0.7500  0.7500  4 Ge 2.81, 4 Hf 2.81
Ge  0.2500  0.2500  0.2500  4 Hf 2.81, 4 Ge 2.81
Ge  0.5000  0.5000  0.5000  4 Ge 2.81, 4 Tc 2.81

Compound: HfGeTe2
Source: OQMD
Functional: PBE
Structure: optimized geometry

Summary:
- M_tot (Bohr magnetons per cell) = 0.02
- space group = F-43m, No. 216
- electronic total energy (eV per cell) = -19.8

Cell: 5.1089 5.1089 5.1089 Å, 60.00 60.00 60.00°
Closest atoms and distances in Å follow each position.
Fractional positions:
Hf  0.0000  0.0000  0.0000  4 Ge 3.13, 4 Te 3.13
Ge  0.7500  0.7500  0.7500  4 Te 3.13, 4 Hf 3.13
Te  0.2500  0.2500  0.2500  4 Te 3.13, 4 Hf 3.13
Te  0.5000  0.5000  0.5000  4 Te 3.13, 4 Ge 3.13

Compound: Hf3TlGe5
Source: OQMD
Functional: PBE
Structure: optimized geometry

Summary:
- M_tot (Bohr magnetons per cell) = 0.01
- space group = P6/mmm, No. 191
- electronic total energy (eV per cell) = -55.4

Cell: 5.8535 5.8535 6.8987 Å, 90.00 90.00 120.00°
Closest atoms and distances in Å follow each position.
Fractional positions:
Hf  0.0000  0.5000  0.0000  6 Ge 2.80-2.93, 4 Hf 2.93
Hf  0.5000  0.0000  0.0000  6 Ge 2.80-2.93, 4 Hf 2.93
Hf  0.5000  0.5000  0.0000  6 Ge 2.80-2.93, 4 Hf 2.93
Tl  0.0000  0.0000  0.5000  14 Ge 3.45-3.59
Ge  0.0000  0.0000  0.0000  6 Hf 2.93
Ge  0.3333  0.6667  0.3231  1 Ge 2.44
Ge  0.3333  0.6667  0.6769  1 Ge 2.44
Ge  0.6667  0.3333  0.3231  1 Ge 2.44
Ge  0.6667  0.3333  0.6769  1 Ge 2.44